Density functional theory data (GGA-PBE) for a relaxed structure of MnBe2B.

Density (g cm⁻³): 4.41
Volume (A^3/atom): 7.894
Formation energy (eV/atom): -0.153

Cell lengths 3.1203, 3.1203, 3.2431 Å; angles 90.00, 90.00, 90.00 degrees
With the nearest neighbours (Å) after each atom.
Fractional positions:
Mn1 0.0000 0.0000 0.0000  4 B 2.21, 8 Be 2.25
Be1 0.0000 0.5000 0.5000  4 Be 2.21, 4 Mn 2.25, 4 B 2.25
Be2 0.5000 0.0000 0.5000  4 Be 2.21, 4 Mn 2.25, 4 B 2.25
B1 0.5000 0.5000 0.0000  4 Mn 2.21, 8 Be 2.25